Density functional theory data (PBE-GGA) for a relaxed ThUPa2 crystal.

Geometry as POSCAR:
```
ThUPa2
1.0
2.5296 1.4604 4.7593
-2.5296 1.4604 4.7593
0.0000 -2.9209 4.7593
Th U Pa
1 1 2
Cartesian
0.0000 0.0000 0.0000
0.0000 0.0000 7.1389
0.0000 0.0000 3.1328
0.0000 0.0000 11.1450
```

Properties
size of the total moment = 1.4 μB per formula unit
energy relative to the lowest polymorph listed for this composition = 202 meV/atom
ΔH_f (0 K) = 0.37 eV per atom